## HoZnInSe3 (PBE-GGA)

Data for a geometry-optimized HoZnInSe3 structure.

Output
final energy = -100.5 eV/cell

Cell lengths 11.654, 4.225, 12.425 Å; angles 90.00, 90.00, 90.00 degrees
Element x y z (fractional)
Ho 0.022 0.250 0.179
Ho 0.478 0.750 0.679
Ho 0.522 0.250 0.321
Ho 0.978 0.750 0.821
Zn 0.248 0.750 0.302
Zn 0.252 0.250 0.802
Zn 0.748 0.750 0.198
Zn 0.752 0.250 0.698
In 0.171 0.250 0.504
In 0.329 0.750 0.004
In 0.671 0.250 0.996
In 0.829 0.750 0.496
Se 0.039 0.750 0.338
Se 0.097 0.250 0.936
Se 0.227 0.750 0.692
Se 0.273 0.250 0.192
Se 0.403 0.750 0.436
Se 0.461 0.250 0.838
Se 0.539 0.750 0.162
Se 0.597 0.250 0.564
Se 0.727 0.750 0.808
Se 0.773 0.250 0.308
Se 0.903 0.750 0.064
Se 0.961 0.250 0.662



## HoZnInSe3 (PBE-GGA)

Data for a geometry-optimized HoZnInSe3 structure.

Output
final energy = -50.9 eV/cell

Cell lengths 7.612, 7.612, 10.858 Å; angles 90.00, 90.00, 148.92 degrees
Element x y z (fractional)
Ho 0.000 0.000 0.000
Ho 0.000 0.000 0.500
Zn 0.463 0.537 0.750
Zn 0.537 0.463 0.250
In 0.248 0.752 0.250
In 0.752 0.248 0.750
Se 0.067 0.933 0.750
Se 0.370 0.630 0.561
Se 0.370 0.630 0.939
Se 0.630 0.370 0.061
Se 0.630 0.370 0.439
Se 0.933 0.067 0.250



## HoZnInSe3 (PBE-GGA)

Data for a geometry-optimized HoZnInSe3 structure.

Output
final energy = -101.6 eV/cell

Cell lengths 14.730, 4.095, 11.037 Å; angles 90.00, 90.00, 90.00 degrees
Element x y z (fractional)
Ho 0.025 0.250 0.157
Ho 0.475 0.750 0.657
Ho 0.525 0.250 0.343
Ho 0.975 0.750 0.843
Zn 0.019 0.750 0.401
Zn 0.481 0.250 0.901
Zn 0.519 0.750 0.099
Zn 0.981 0.250 0.599
In 0.244 0.250 0.464
In 0.256 0.750 0.964
In 0.744 0.250 0.036
In 0.756 0.750 0.536
Se 0.082 0.750 0.616
Se 0.099 0.250 0.922
Se 0.142 0.750 0.248
Se 0.358 0.250 0.748
Se 0.401 0.750 0.422
Se 0.418 0.250 0.116
Se 0.582 0.750 0.884
Se 0.599 0.250 0.578
Se 0.642 0.750 0.252
Se 0.858 0.250 0.752
Se 0.901 0.750 0.078
Se 0.918 0.250 0.384



## HoZnInSe3 (PBE-GGA)

Data for a geometry-optimized HoZnInSe3 structure.

Output
final energy = -49.3 eV/cell

Cell lengths 9.016, 9.016, 8.954 Å; angles 103.56, 103.56, 26.40 degrees
Element x y z (fractional)
Ho 0.173 0.173 0.088
Ho 0.827 0.827 0.912
Zn 0.479 0.479 0.781
Zn 0.521 0.521 0.219
In 0.137 0.137 0.574
In 0.863 0.863 0.426
Se 0.000 0.000 0.000
Se 0.332 0.332 0.695
Se 0.337 0.337 0.136
Se 0.500 0.500 0.500
Se 0.663 0.663 0.864
Se 0.668 0.668 0.305



Magnetization per entry: 0.00; 0.00; 0.00; 0.00 μB/atom